[1]
A relaxed structure of ScTe2Se, computed with PBE-GGA.

Cell: 3.6515 3.6515 7.5525 Å, 90.00 90.00 90.00°
Last column: nearest neighbours and their distance in Å.
Space group P4mm (No. 99)
Unique sites:
Sc 0.0000 0.0000 0.0000  4 Se 2.76
Te 0.0000 0.0000 0.4314  1 Sc 3.26, 4 Se 3.44, 4 Te 3.57
Te 0.5000 0.5000 0.7576  1 Se 2.82
Se 0.5000 0.5000 0.1306  4 Sc 2.76, 1 Te 2.82

Values from the calculation:
Density in g cm⁻³: 6.25
E_form (uncorrected) in eV/atom: -0.6371

---

[2]
A relaxed structure of ScTeSe3, computed with PBE-GGA.

Cell: 5.1391 5.1391 5.1391 Å, 90.00 90.00 90.00°
Last column: nearest neighbours and their distance in Å.
Space group Pm-3m (No. 221)
Unique sites:
Sc 0.0000 0.0000 0.0000  6 Se 2.57
Te 0.5000 0.5000 0.5000  12 Se 3.63
Se 0.0000 0.0000 0.5000  2 Sc 2.57

Values from the calculation:
Offset from the most stable computed form in meV per atom: 0.0
Density in g cm⁻³: 5.01
E_form (uncorrected) in eV/atom: -0.2603

---

[3]
A relaxed structure of ScTeSe, computed with PBE-GGA.

Cell: 3.9829 14.7651 5.5196 Å, 90.00 90.00 90.00°
Last column: nearest neighbours and their distance in Å.
Space group Cmcm (No. 63)
Unique sites:
Sc 0.0000 0.1851 0.2500  4 Se 2.71-2.76, 2 Te 3.00
Te 0.0000 0.4671 0.7500  2 Te 2.93, 2 Sc 3.00
Se 0.0000 0.1906 0.7500  4 Sc 2.71-2.76

Values from the calculation:
Offset from the most stable computed form in meV per atom: 0.0
Density in g cm⁻³: 5.15
E_form (uncorrected) in eV/atom: -1.2278